DFT (PBE) results for CaCd2Re after structural relaxation.

The raw total energy is -3.200 eV per atom. Its magnetic moment is 0.24 μB/atom. Its formation energy is 83.94 kJ/mol of atoms.

It has space group I-42d (No. 122), with a = 4.423 Å, b = 4.423 Å, c = 19.948 Å, α = 90.00°, β = 90.00° and γ = 90.00°. The inequivalent atoms are Ca at (0.000, 0.000, 0.000), Cd at (0.196, 0.250, 0.625) and Re at (0.000, 0.000, 0.500).